CsPrPdF6 after structural relaxation, computed with PBE-GGA.

extended XYZ file:
```
18
Lattice="-6.798 -0.877 3.660 -2.040 -6.256 -5.289 6.682 -0.001 4.162" Properties=species:S:1:pos:R:3 pbc="T T T"
Cs -2.373 -4.424 2.780
Cs 0.217 -2.710 -0.247
Pr -0.058 -0.439 3.911
Pr 3.341 0.000 2.081
Pd -4.419 -3.567 -0.814
Pd -3.399 -0.439 1.830
F -4.315 -6.099 -1.228
F -1.167 -1.589 5.700
F -4.094 -1.548 3.405
F -2.531 -4.337 -0.625
F -1.513 -1.215 2.015
F -5.113 -4.670 0.765
F 2.159 -1.035 3.761
F -0.989 -5.545 -3.166
F 1.938 -5.586 -0.871
F 0.375 -2.797 3.158
F -0.644 -5.919 0.519
F 2.956 -2.464 1.768
```

Computed properties:
E_form (uncorrected) ... -2.7821 eV/atom
Crystal system ... orthorhombic